1.
An optimized crystal structure of Sc2CrSb, computed with PBE.

E_tot: -6.893 eV/atom
formation energy (no corrections): -0.290 eV/atom
V: 21.64 Å³ per atom

abc: 4.289 3.732 10.812
angles: 90.00 90.00 90.00
Space group Amm2 (No. 38)
Inequivalent atoms, fractional coordinates:
Sc 0.000 0.000 0.000 [2 per cell]
Sc 0.500 0.000 0.297 [2 per cell]
Cr 0.500 0.000 0.563 [2 per cell]
Sb 0.000 0.000 0.722 [2 per cell]

---

2.
An optimized crystal structure of ScCrSb2, computed with PBE.

E_tot: -5.911 eV/atom
formation energy (no corrections): 0.139 eV/atom
V: 31.83 Å³ per atom

abc: 6.029 6.029 14.013
angles: 90.00 90.00 90.00
Space group I-42d (No. 122)
Inequivalent atoms, fractional coordinates:
Sc 0.000 0.000 0.000 [4 per cell]
Cr 0.000 0.000 0.500 [4 per cell]
Sb 0.216 0.250 0.625 [8 per cell]

---

3.
An optimized crystal structure of ScCrSb, computed with PBE.

E_tot: -6.772 eV/atom
formation energy (no corrections): -0.079 eV/atom
V: 18.26 Å³ per atom

abc: 3.452 3.452 9.193
angles: 90.00 90.00 90.00
Space group I4mm (No. 107)
Inequivalent atoms, fractional coordinates:
Sc 0.000 0.000 0.000 [2 per cell]
Cr 0.000 0.000 0.328 [2 per cell]
Sb 0.000 0.000 0.689 [2 per cell]

---

4.
An optimized crystal structure of Sc2CrSb, computed with PBE.

E_tot: -6.294 eV/atom
formation energy (no corrections): 0.308 eV/atom
V: 23.17 Å³ per atom

abc: 3.2678 3.2678 30.0639
angles: 90.00 90.00 120.00
Space group R-3m (No. 166, hexagonal axes)
Inequivalent atoms, fractional coordinates:
Sc 0.0000 0.0000 0.0978 [6 per cell]
Cr 0.0000 0.0000 0.5000 [3 per cell]
Sb 0.0000 0.0000 0.0000 [3 per cell]

---

5.
An optimized crystal structure of ScCrSb2, computed with PBE.

E_tot: -6.196 eV/atom
formation energy (no corrections): -0.146 eV/atom
V: 22.25 Å³ per atom

abc: 3.382 4.002 6.684
angles: 90.00 100.31 90.00
Space group P2/m (No. 10)
Inequivalent atoms, fractional coordinates:
Sc 0.000 0.000 0.000 [1 per cell]
Cr 0.500 0.000 0.500 [1 per cell]
Sb 0.298 0.500 0.742 [2 per cell]

---

6.
An optimized crystal structure of Sc2CrSb, computed with PBE.

E_tot: -6.567 eV/atom
formation energy (no corrections): 0.035 eV/atom
V: 21.26 Å³ per atom

abc: 3.2830 3.2830 27.3372
angles: 90.00 90.00 120.00
Space group R-3m (No. 166, hexagonal axes)
Inequivalent atoms, fractional coordinates:
Sc 0.0000 0.0000 0.2430 [6 per cell]
Cr 0.0000 0.0000 0.5000 [3 per cell]
Sb 0.0000 0.0000 0.0000 [3 per cell]

---

7.
An optimized crystal structure of ScCrSb2, computed with PBE.

E_tot: -6.232 eV/atom
formation energy (no corrections): -0.182 eV/atom
V: 21.92 Å³ per atom

abc: 3.915 4.243 5.279
angles: 90.00 90.00 90.00
Space group Pmmm (No. 47)
Inequivalent atoms, fractional coordinates:
Sc 0.000 0.000 0.000 [1 per cell]
Cr 0.000 0.500 0.500 [1 per cell]
Sb 0.500 0.000 0.500 [1 per cell]
Sb 0.500 0.500 0.000 [1 per cell]

---

8.
An optimized crystal structure of Sc2CrSb, computed with PBE.

E_tot: -6.861 eV/atom
formation energy (no corrections): -0.258 eV/atom
V: 20.63 Å³ per atom

abc: 4.499 4.499 4.076
angles: 90.00 90.00 90.00
Space group P4/mmm (No. 123)
Inequivalent atoms, fractional coordinates:
Sc 0.000 0.500 0.000 [2 per cell]
Cr 0.000 0.000 0.500 [1 per cell]
Sb 0.500 0.500 0.500 [1 per cell]

---

Copy entry 4 word for word.
An optimized crystal structure of Sc2CrSb, computed with PBE.

E_tot: -6.294 eV/atom
formation energy (no corrections): 0.308 eV/atom
V: 23.17 Å³ per atom

abc: 3.2678 3.2678 30.0639
angles: 90.00 90.00 120.00
Space group R-3m (No. 166, hexagonal axes)
Inequivalent atoms, fractional coordinates:
Sc 0.0000 0.0000 0.0978 [6 per cell]
Cr 0.0000 0.0000 0.5000 [3 per cell]
Sb 0.0000 0.0000 0.0000 [3 per cell]